No. 1
# Cr2PtSN

An optimized crystal structure of Cr2PtSN (PBE-GGA, Alexandria).

The structure in POSCAR format:
```
Cr2PtSN
1.0
3.7172 0.0000 0.0000
0.0000 4.6085 0.0000
0.0000 0.0000 3.7172
Cr Pt N S
2 1 1 1
Direct
0.5000 0.0000 0.0000 Cr
0.0000 0.0000 0.5000 Cr
0.5000 0.5000 0.5000 Pt
0.0000 0.0000 0.0000 N
0.0000 0.5000 0.0000 S
```

Total DFT energy (no corrections): -7.150 eV/atom

No. 2
# CrPtSe2N

An optimized crystal structure of CrPtSe2N (PBE-GGA, Alexandria).

The structure in POSCAR format:
```
CrPtSe2N
1.0
4.8888 0.0000 0.0000
0.0000 4.8888 0.0000
0.0000 0.0000 3.4617
Cr Se N Pt
1 2 1 1
Direct
0.0000 0.0000 0.0000 Cr
0.0000 0.5000 0.0000 Se
0.5000 0.0000 0.0000 Se
0.0000 0.0000 0.5000 N
0.5000 0.5000 0.5000 Pt
```

Energy above the lowest structure with this stoichiometry: 0.000 eV/atom

No. 3
# CrPtSe2N

An optimized crystal structure of CrPtSe2N (PBE-GGA, Alexandria).

The structure in POSCAR format:
```
CrPtSe2N
1.0
5.1603 0.0000 0.0000
0.0000 5.1603 0.0000
0.0000 0.0000 3.6552
Pt Cr Se N
1 1 2 1
Direct
0.0000 0.0000 0.0000 Pt
0.5000 0.5000 0.5000 Cr
0.0000 0.5000 0.0000 Se
0.5000 0.0000 0.0000 Se
0.0000 0.0000 0.5000 N
```

Energy above the lowest structure with this stoichiometry: 0.679 eV/atom

No. 4
# Sr2CrPtN

An optimized crystal structure of Sr2CrPtN (PBE-GGA, Alexandria).

The structure in POSCAR format:
```
Sr2CrPtN
1.0
-2.4105 1.4962 4.5721
-2.5419 -4.7380 0.2103
2.8638 -1.4484 1.9839
Cr N Pt Sr
1 1 1 2
Direct
0.0000 0.0000 0.5000 Cr
0.0000 0.0000 0.0000 N
0.5000 0.5000 0.5000 Pt
0.5000 0.0000 0.0000 Sr
0.0000 0.5000 0.0000 Sr
```

Total DFT energy (no corrections): -5.979 eV/atom

| no. | spin magnetization (Bohr magnetons per cell) |
| --- | --- |
| 1 | 0.01 |
| 2 | 0.98 |
| 3 | 0.52 |
| 4 | 3.19 |